! Na2SnPd PBE optimized geometry; values from VASP
! crystal system	tetragonal
! formation enthalpy at 0 K	-0.079	eV/atom
! symmetry	I-42d
! calculated total energy	-3.04	eV/atom
! density of states at the Fermi level	0.24	states/eV/atom
&SYSTEM
  ibrav = 0, nat = 8, ntyp = 3
/
ATOMIC_SPECIES
Na 22.99 Na.upf
Sn 118.71 Sn.upf
Pd 106.42 Pd.upf
CELL_PARAMETERS angstrom
-4.308 4.308 2.664
4.308 -4.308 2.664
4.308 4.308 -2.664
ATOMIC_POSITIONS angstrom
Na 6.461 1.667 -0.666
Na 1.667 2.154 0.666
Na -2.154 2.641 1.998
Na 2.641 2.154 3.330
Sn 4.308 0.000 1.332
Sn 0.000 0.000 2.664
Pd 0.000 0.000 0.000
Pd 0.000 4.308 1.332